# NaMn2MoO6

A geometry-optimized NaMn2MoO6 structure (GGA+U, the Alexandria database).

extended XYZ file:
```
10
Lattice="5.476 -0.057 0.165 2.688 4.469 0.017 2.871 1.400 5.017" Properties=species:S:1:pos:R:3 pbc="T T T"
O 4.493 1.394 1.107
Mo 2.747 1.411 0.247
Na 8.257 4.256 3.197
Mn 2.821 1.383 4.831
Mn 5.505 2.911 2.275
O 4.577 4.598 1.289
O 6.480 1.750 3.925
O 7.449 2.950 1.258
O 6.089 4.301 3.906
O 4.040 2.636 3.977
```

The calculation puts the total energy at -69.57 eV/cell. For the spin magnetization, the calculation gives 9.00 μB/f.u.